Record 1
# FeNi8W2

FeNi8W2 after structural relaxation (PBE, Alexandria via LeMat-Bulk).

a b c (Å): 10.695 4.583 6.275
angles (deg): 90.00 118.64 90.00
Space group C2/m (No. 12)
One atom of each set of equivalent atoms:
Fe 0.000 0.000 0.000 (multiplicity 2)
Ni 0.105 0.500 0.975 (multiplicity 4)
Ni 0.111 0.256 0.382 (multiplicity 8)
Ni 0.249 0.500 0.778 (multiplicity 4)
W 0.132 0.000 0.753 (multiplicity 4)

Results
Its density of states at the Fermi level is 8.4 states/eV/f.u. For the formation enthalpy at 0 K, the calculation gives 152 kJ/mol of formula units. The value obtained for the theoretical density is 10.99 g cm⁻³. The value obtained for the total DFT energy (no corrections) is -158.1 eV per cell.

Record 2
# Fe2Ni5W

Fe2Ni5W after structural relaxation (PBE, Alexandria via LeMat-Bulk).

a b c (Å): 13.693 4.402 6.591
angles (deg): 90.00 107.50 90.00
Space group C2/c (No. 15)
One atom of each set of equivalent atoms:
Fe 0.121 0.183 0.124 (multiplicity 8)
Ni 0.000 0.159 0.750 (multiplicity 4)
Ni 0.061 0.337 0.436 (multiplicity 8)
Ni 0.181 0.288 0.815 (multiplicity 8)
W 0.250 0.250 0.500 (multiplicity 4)

Results
Its density of states at the Fermi level is 8.3 states/eV/f.u. For the formation enthalpy at 0 K, the calculation gives 51 kJ/mol of formula units. The value obtained for the theoretical density is 10.33 g cm⁻³. The value obtained for the total DFT energy (no corrections) is -233.0 eV per cell.

Record 3
# Fe2NiW

Fe2NiW after structural relaxation (PBE, Alexandria via LeMat-Bulk).

a b c (Å): 5.849 5.849 5.849
angles (deg): 90.00 90.00 90.00
Space group F-43m (No. 216)
One atom of each set of equivalent atoms:
Fe 0.000 0.000 0.000 (multiplicity 4)
Fe 0.250 0.250 0.250 (multiplicity 4)
Ni 0.250 0.250 0.750 (multiplicity 4)
W 0.000 0.000 0.500 (multiplicity 4)

Results
Its density of states at the Fermi level is 5.9 states/eV/f.u. The value obtained for the polymorph energy (0 for the lowest one) is 0.134 eV/atom. For the formation enthalpy at 0 K, the calculation gives 55 kJ/mol of formula units. The value obtained for the theoretical density is 11.76 g cm⁻³. The value obtained for the total DFT energy (no corrections) is -140.4 eV per cell.

Record 4
# Fe2NiW

Fe2NiW after structural relaxation (PBE, Alexandria via LeMat-Bulk).

a b c (Å): 3.054 3.054 5.271
angles (deg): 90.00 90.00 90.00
Space group P4/mmm (No. 123)
One atom of each set of equivalent atoms:
Fe 0.000 0.000 0.232 (multiplicity 2)
Ni 0.500 0.500 0.000 (multiplicity 1)
W 0.500 0.500 0.500 (multiplicity 1)

Results
Its density of states at the Fermi level is 5.6 states/eV/f.u. The value obtained for the polymorph energy (0 for the lowest one) is 0.116 eV/atom. For the formation enthalpy at 0 K, the calculation gives 48 kJ/mol of formula units. The value obtained for the theoretical density is 11.96 g cm⁻³. The value obtained for the total DFT energy (no corrections) is -35.2 eV per cell.

Record 5
# Fe2NiW

Fe2NiW after structural relaxation (PBE, Alexandria via LeMat-Bulk).

a b c (Å): 2.637 3.592 5.180
angles (deg): 90.00 90.14 90.00
Space group Pm (No. 6)
One atom of each set of equivalent atoms:
Fe 0.000 0.000 0.000 (multiplicity 1)
Fe 0.500 0.500 0.237 (multiplicity 1)
Ni 0.000 0.000 0.477 (multiplicity 1)
W 0.501 0.500 0.743 (multiplicity 1)

Results
Its density of states at the Fermi level is 4.2 states/eV/f.u. The value obtained for the polymorph energy (0 for the lowest one) is 0.084 eV/atom. For the formation enthalpy at 0 K, the calculation gives 36 kJ/mol of formula units. The value obtained for the theoretical density is 11.99 g cm⁻³. The value obtained for the total DFT energy (no corrections) is -35.3 eV per cell.

Record 6
# Fe4NiW

Fe4NiW after structural relaxation (PBE, Alexandria via LeMat-Bulk).

a b c (Å): 6.572 6.572 6.572
angles (deg): 90.00 90.00 90.00
Space group F-43m (No. 216)
One atom of each set of equivalent atoms:
Fe 0.124 0.124 0.124 (multiplicity 16)
Ni 0.250 0.250 0.750 (multiplicity 4)
W 0.000 0.000 0.500 (multiplicity 4)

Results
Its density of states at the Fermi level is 3.0 states/eV/f.u. For the formation enthalpy at 0 K, the calculation gives 19 kJ/mol of formula units. The value obtained for the theoretical density is 10.90 g cm⁻³. The value obtained for the total DFT energy (no corrections) is -209.6 eV per cell.

Record 7
# Fe3NiW

Fe3NiW after structural relaxation (PBE, Alexandria via LeMat-Bulk).

a b c (Å): 4.221 4.221 4.221
angles (deg): 90.00 90.00 90.00
Space group Pm-3m (No. 221)
One atom of each set of equivalent atoms:
Fe 0.000 0.000 0.500 (multiplicity 3)
Ni 0.000 0.000 0.000 (multiplicity 1)
W 0.500 0.500 0.500 (multiplicity 1)

Results
Its density of states at the Fermi level is 7.4 states/eV/f.u. The value obtained for the polymorph energy (0 for the lowest one) is 0.000 eV/atom. For the formation enthalpy at 0 K, the calculation gives 619 kJ/mol of formula units. The value obtained for the theoretical density is 9.05 g cm⁻³. The value obtained for the total DFT energy (no corrections) is -37.7 eV per cell.

Record 8
# FeNi9W2

FeNi9W2 after structural relaxation (PBE, Alexandria via LeMat-Bulk).

a b c (Å): 3.614 3.614 10.825
angles (deg): 90.00 90.00 90.00
Space group P4/mmm (No. 123)
One atom of each set of equivalent atoms:
Fe 0.000 0.000 0.000 (multiplicity 1)
Ni 0.000 0.500 0.164 (multiplicity 4)
Ni 0.000 0.500 0.500 (multiplicity 2)
Ni 0.500 0.500 0.000 (multiplicity 1)
Ni 0.500 0.500 0.334 (multiplicity 2)
W 0.000 0.000 0.327 (multiplicity 2)

Results
Its density of states at the Fermi level is 18.4 states/eV/f.u. For the formation enthalpy at 0 K, the calculation gives 20 kJ/mol of formula units. The value obtained for the theoretical density is 11.18 g cm⁻³. The value obtained for the total DFT energy (no corrections) is -86.2 eV per cell.

Q: Which formula does entry 1 have?
A: FeNi8W2

Q: theoretical density of number 4 (Fe2NiW)?
A: 11.96 g cm⁻³